[1]
The following is a DFT calculation (PBEsol) of a geometry-optimized Na2GeF6 structure.

Cell: 4.563 9.433 9.433 Å, 120.00 90.00 90.00°
Positions (direct):
1 Na 0.000 0.657 0.000
2 Na 0.000 0.000 0.657
3 Na 0.000 0.343 0.343
4 Na 0.000 0.343 0.000
5 Na 0.000 0.000 0.343
6 Na 0.000 0.657 0.657
7 Ge 0.503 0.333 0.667
8 Ge 0.497 0.667 0.333
9 Ge 0.000 0.000 0.000
10 F 0.276 0.425 0.850
11 F 0.276 0.425 0.575
12 F 0.276 0.150 0.575
13 F 0.724 0.850 0.425
14 F 0.724 0.575 0.425
15 F 0.724 0.575 0.150
16 F 0.728 0.241 0.483
17 F 0.728 0.241 0.759
18 F 0.728 0.517 0.759
19 F 0.782 0.907 0.814
20 F 0.782 0.907 0.093
21 F 0.782 0.186 0.093
22 F 0.218 0.814 0.907
23 F 0.218 0.093 0.907
24 F 0.218 0.093 0.186
25 F 0.272 0.759 0.517
26 F 0.272 0.759 0.241
27 F 0.272 0.483 0.241

Values from the calculation:
Theoretical density ... 3296 kg/m3
Fermi-level density of states ... 0.00 states/eV per cell
Uncorrected formation energy ... -2678 meV/atom
Energy above the most stable polymorph in this dataset ... 0.049 eV per atom
V ... 351.6 Å³ per cell
Uncorrected energy ... -130.2 eV/cell

[2]
The following is a DFT calculation (PBEsol) of a geometry-optimized KAlW structure.

Cell: 4.690 4.690 4.690 Å, 60.00 60.00 60.00°
Last column: magnetic moment on the atom in μB.
Positions (direct):
1 K 0.500 0.500 0.500  0.02
2 Al 0.000 0.000 0.000  -0.07
3 W 0.750 0.750 0.750  1.79

Values from the calculation:
Theoretical density ... 5690 kg/m3
Fermi-level density of states ... 1.10 states/eV per cell
Formation enthalpy at 0 K ... 2.014 eV per atom
V ... 72.9 Å³ per cell
Uncorrected energy ... -13.0 eV/cell

[3]
The following is a DFT calculation (PBEsol) of a geometry-optimized BaSrZn2 structure.

Cell: 3.919 3.919 7.824 Å, 90.00 90.00 90.00°
Positions (direct):
1 Sr 0.500 0.500 0.500
2 Zn 0.000 0.000 0.733
3 Zn 0.000 0.000 0.267
4 Ba 0.500 0.500 0.000

Values from the calculation:
Theoretical density ... 4916 kg/m3
Fermi-level density of states ... 2.62 states/eV per cell
Formation enthalpy at 0 K ... -0.131 eV per atom
V ... 120.2 Å³ per cell
Uncorrected energy ... -7.7 eV/cell

[4]
The following is a DFT calculation (PBEsol) of a geometry-optimized InRuCl2 structure.

Cell: 3.026 3.026 9.703 Å, 81.03 81.03 60.00°
Positions (direct):
1 Ru 0.000 0.000 0.000
2 Cl 0.923 0.923 0.231
3 Cl 0.077 0.077 0.769
4 In 0.500 0.500 0.500

Values from the calculation:
Theoretical density ... 6293 kg/m3
Fermi-level density of states ... 2.92 states/eV per cell
Uncorrected formation energy ... 69 meV/atom
Energy above the most stable polymorph in this dataset ... 0.000 eV per atom
V ... 75.7 Å³ per cell
Uncorrected energy ... -16.9 eV/cell

[5]
The following is a DFT calculation (PBEsol) of a geometry-optimized AgC4 structure.

Cell: 4.460 4.460 4.460 Å, 107.91 107.91 112.65°
Positions (direct):
1 C 0.620 0.000 0.620
2 C 0.000 0.380 0.380
3 C 0.380 0.000 0.380
4 C 0.000 0.620 0.620
5 Ag 0.000 0.000 0.000

Values from the calculation:
Theoretical density ... 3800 kg/m3
Fermi-level density of states ... 0.70 states/eV per cell
Formation enthalpy at 0 K ... 1.982 eV per atom
V ... 68.1 Å³ per cell
Uncorrected energy ... -32.0 eV/cell

[6]
The following is a DFT calculation (PBEsol) of a geometry-optimized ZrCdAg structure.

Cell: 2.888 4.769 4.769 Å, 120.00 90.00 90.00°
Positions (direct):
1 Zr 0.333 0.667 0.333
2 Ag 0.835 0.000 0.000
3 Cd 0.832 0.333 0.667

Values from the calculation:
Theoretical density ... 9092 kg/m3
Fermi-level density of states ... 1.65 states/eV per cell
Formation enthalpy at 0 K ... -0.141 eV per atom
V ... 56.9 Å³ per cell
Uncorrected energy ... -14.0 eV/cell